No. 1
4
Lattice="-4.091 -0.208 -2.155 0.772 -3.520 -1.126 -1.588 -1.355 3.146" Properties=species:S:1:pos:R:3 comment="LiCaRu2 (PBE, relaxed)" spacegroup="P4/mmm (123)" magnetic_moment_mub_per_cell=0.0 de_polymorph_ev_per_atom=0.129 dft_energy_ev_per_atom=-5.247 pbc="T T T"
Ca -1.660 -1.864 -1.641
Ru 0.000 0.000 0.000
Ru -0.408 -2.437 1.010
Li -2.840 -0.781 0.496

No. 2
9
Lattice="-3.899 -4.214 -0.499 1.581 -5.532 -1.712 0.781 -1.232 5.289" Properties=species:S:1:pos:R:3 comment="KScAgF6 (PBE, relaxed)" spacegroup="P1 (1)" magnetic_moment_mub_per_cell=1.1 dft_energy_ev_per_atom=-5.152 raw_formation_energy_mev_per_atom=-2763 pbc="T T T"
F -0.185 -5.328 0.432
F 1.466 -4.366 2.645
F -0.839 -2.482 3.404
F 0.746 -2.445 0.945
F -2.069 -3.182 1.044
F -1.265 -5.336 2.963
K 1.523 -5.551 -1.706
Ag -1.176 -7.121 1.173
Sc -0.451 -3.886 1.913

No. 3
10
Lattice="4.062 0.000 0.928 1.714 6.749 1.854 0.011 0.009 9.306" Properties=species:S:1:pos:R:3 comment="NdPu4As5 (PBE, relaxed)" spacegroup="C2/m (12)" magnetic_moment_mub_per_cell=19.9 dft_energy_ev_per_atom=-9.648 pbc="T T T"
As 2.375 6.091 8.314
As 3.637 4.633 2.792
As 0.863 3.379 5.580
As 2.151 2.125 9.296
As 3.412 0.667 3.774
Pu 1.497 2.665 2.804
Pu 2.783 1.372 6.530
Pu 4.291 4.094 9.283
Pu 3.005 5.387 5.558
Nd 0.000 0.000 0.000

No. 4
18
Lattice="-2.819 3.461 0.634 1.394 -3.455 9.026 10.442 8.222 1.534" Properties=species:S:1:pos:R:3 comment="LiLa2PmTe5 (PBE, relaxed)" spacegroup="Cmc2_1 (36)" magnetic_moment_mub_per_cell=0.0 dft_energy_ev_per_atom=-5.009 raw_formation_energy_mev_per_atom=-1428 pbc="T T T"
La 0.504 1.891 7.949
La 3.169 2.071 2.783
La 6.973 7.044 8.576
La 7.143 5.259 3.044
Te 10.421 6.957 8.342
Te 0.731 0.417 0.972
Te 3.588 1.755 6.368
Te 0.368 2.395 4.587
Te 3.797 5.366 3.616
Te 4.531 4.854 9.671
Te 8.128 4.693 10.515
Te 7.403 8.028 5.116
Te 1.513 4.027 0.771
Te 6.996 4.531 6.364
Li 4.823 2.276 9.018
Li 8.647 9.459 2.830
Pm 0.081 -0.617 3.730
Pm 3.890 4.872 6.723

Number 3 is which compound? NdPu4As5

Repeat the first record exactly.
4
Lattice="-4.091 -0.208 -2.155 0.772 -3.520 -1.126 -1.588 -1.355 3.146" Properties=species:S:1:pos:R:3 comment="LiCaRu2 (PBE, relaxed)" spacegroup="P4/mmm (123)" magnetic_moment_mub_per_cell=0.0 de_polymorph_ev_per_atom=0.129 dft_energy_ev_per_atom=-5.247 pbc="T T T"
Ca -1.660 -1.864 -1.641
Ru 0.000 0.000 0.000
Ru -0.408 -2.437 1.010
Li -2.840 -0.781 0.496